Entry 1:
{
  "formula": "AlZnS3",
  "functional": "GGA-PBE",
  "state": "relaxed",
  "raw_formation_energy_ev_per_atom": 0.091,
  "total_magnetization_mub_per_fu": 0.00,
  "sg": "Pm-3m (221)",
  "lattice_angstrom": [[-3.464, 0.337, -3.023], [-0.474, -4.585, 0.032], [-3.004, 0.334, 3.480]],
  "species": ["Al", "S", "S", "S", "Zn"],
  "fractional_positions": [[0.000, 0.000, 0.000], [0.500, 0.000, 0.000], [0.000, 0.500, 0.000], [0.000, 0.000, 0.500], [0.500, 0.500, 0.500]]
}

=====

Entry 2:
{
  "formula": "ZrP2Au",
  "functional": "GGA-PBE",
  "state": "relaxed",
  "ef_ev_per_fu": -1.428,
  "total_magnetization_mub_per_fu": 0.00,
  "sg": "C2/m (12)",
  "lattice_angstrom": [[-1.515, -4.442, 1.405], [0.610, -3.281, 3.586], [-3.795, 2.726, 2.248]],
  "species": ["P", "P", "Zr", "Au"],
  "fractional_positions": [[0.464, 0.464, 0.598], [0.036, 0.036, 0.902], [0.750, 0.750, 0.750], [0.250, 0.250, 0.250]]
}

=====

Entry 3:
{
  "formula": "Dy3Tl4Te8Pb",
  "functional": "GGA-PBE",
  "state": "relaxed",
  "raw_formation_energy_ev_per_atom": -0.853,
  "total_magnetization_mub_per_fu": 0.00,
  "sg": "R-3m (166)",
  "lattice_angstrom": [[-7.671, -4.642, 1.193], [4.627, -6.240, 5.475], [0.371, 8.766, 2.201]],
  "species": ["Dy", "Dy", "Dy", "Te", "Te", "Te", "Te", "Te", "Te", "Te", "Te", "Tl", "Tl", "Tl", "Tl", "Pb"],
  "fractional_positions": [[0.500, 0.500, 0.000], [0.500, 0.500, 0.500], [0.000, 0.500, 0.500], [0.726, 0.720, 0.973], [0.753, 0.280, 0.027], [0.261, 0.284, 0.523], [0.247, 0.720, 0.973], [0.247, 0.720, 0.494], [0.753, 0.280, 0.506], [0.274, 0.280, 0.027], [0.739, 0.716, 0.477], [0.500, 0.000, 0.000], [0.000, 0.000, 0.000], [0.500, 0.000, 0.500], [0.000, 0.000, 0.500], [0.000, 0.500, 0.000]]
}